(1)
Here is a relaxed Nb2BPb crystal from the Open Quantum Materials Database. Energies are from GGA-PBE.

Unit cell a=3.329 b=3.329 c=14.379 alpha=90.00 beta=90.00 gamma=120.00
Fractional positions:
Nb 0.333 0.667 0.084
Pb 0.333 0.667 0.750
Pb 0.667 0.333 0.250
B 0.000 0.000 0.000
Nb 0.667 0.333 0.584
Nb 0.333 0.667 0.416
Nb 0.667 0.333 0.916
B 0.000 0.000 0.500

Total DFT energy (no corrections) (eV per cell): -63.35
SG: P6_3/mmc, No. 194



(2)
Here is a relaxed NbB4Pb crystal from the Open Quantum Materials Database. Energies are from GGA-PBE.

Unit cell a=5.013 b=5.013 c=5.013 alpha=143.93 beta=113.12 gamma=78.40
Fractional positions:
Nb 0.000 0.000 0.000
B 0.082 0.746 0.336
B 0.591 0.254 0.336
B 0.918 0.254 0.664
B 0.409 0.746 0.664
Pb 0.500 0.500 0.000

Total DFT energy (no corrections) (eV per cell): -38.43
SG: Immm, No. 71



> Which value of total DFT energy (no corrections) does entry 2 give?

-38.43 eV per cell